one | A relaxed KReH3 crystal, computed with GGA-PBE.

The structure in POSCAR format:
```
KReH3
1.0
3.779 0.000 0.000
0.000 3.779 0.000
0.000 0.000 3.779
K Re H
1 1 3
direct
0.000 0.000 0.000
0.500 0.500 0.500
0.000 0.500 0.500
0.500 0.000 0.500
0.500 0.500 0.000
```

Summary:
Crystal system ... cubic
Space group ... Pm-3m, No. 221


two | A relaxed KReH3 crystal, computed with GGA-PBE.

The structure in POSCAR format:
```
KReH3
1.0
3.881 0.000 0.000
0.000 3.881 0.000
0.000 0.000 3.881
K Re H
1 1 3
direct
0.000 0.000 0.000
0.500 0.500 0.500
0.000 0.000 0.500
0.000 0.500 0.000
0.500 0.000 0.000
```

Summary:
Crystal system ... cubic
Space group ... Pm-3m, No. 221


Stability verdict: one, ahead by 1.693 eV/atom


one | A relaxed KRe3H crystal, computed with GGA-PBE.

The structure in POSCAR format:
```
KRe3H
1.0
4.529 0.000 0.000
0.000 4.529 0.000
0.000 0.000 4.529
K Re H
1 3 1
direct
0.000 0.000 0.000
0.000 0.000 0.500
0.000 0.500 0.000
0.500 0.000 0.000
0.500 0.500 0.500
```

Summary:
Crystal system ... cubic
Space group ... Pm-3m, No. 221


two | A relaxed KRe3H crystal, computed with GGA-PBE.

The structure in POSCAR format:
```
KRe3H
1.0
4.162 0.000 0.000
0.000 4.162 0.000
0.000 0.000 4.162
K Re H
1 3 1
direct
0.000 0.000 0.000
0.000 0.500 0.500
0.500 0.000 0.500
0.500 0.500 0.000
0.500 0.500 0.500
```

Summary:
Crystal system ... cubic
Space group ... Pm-3m, No. 221


Stability verdict: two, ahead by 2.929 eV/atom